An optimized crystal structure of NaCu2AgCl4. Source: Alexandria via LeMat-Bulk, functional PBE-GGA.

Lattice parameters (Å, degrees): 7.197 7.197 7.197 133.85 133.85 67.32
Fractional coordinates of all 8 atoms:
Na 0.000 0.000 0.000
Cu 0.250 0.750 0.500
Cu 0.750 0.250 0.500
Ag 0.500 0.500 0.000
Cl 0.110 0.110 0.511
Cl 0.401 0.890 0.000
Cl 0.599 0.599 0.489
Cl 0.890 0.401 0.000

Summary:
Size of the total moment   0.00 μB per cell
E   -3.201 eV/atom

An optimized crystal structure of TbHoSeN. Source: Alexandria via LeMat-Bulk, functional PBE-GGA.

Lattice parameters (Å, degrees): 6.851 6.851 6.851 31.06 31.06 31.06
Fractional coordinates of all 4 atoms:
Tb 0.000 0.000 0.000
Ho 0.466 0.466 0.466
Se 0.232 0.232 0.232
N 0.735 0.735 0.735

Summary:
Density of states at the Fermi level   0.25 states/eV/atom
Size of the total moment   0.00 μB per cell
E   -6.965 eV/atom

Calculated values (meV per atom) of formation energy without anion corrections for the records, taken in order: -732 -1711.
Calculated values (g cm⁻³) of mass density for the records, taken in order: 3.48 9.12.